Material: Ba4CaPb
Method: DFT, PBE-GGA
State: optimized geometry

Geometry as POSCAR:
```
Ba4CaPb
1.0
2.503 -5.865 3.956
2.020 0.899 7.171
-4.223 -2.907 5.480
Ba Ca Pb
4 1 1
Cartesian
1.379 -5.908 8.204
-2.024 -4.411 8.975
1.134 -2.486 9.831
0.112 -2.941 6.203
0.226 -5.905 12.455
0.000 0.000 0.000
```

Computed properties:
energy: -2.036 eV/atom
energy relative to the elements: 197 meV per atom
D(E_F): 9.5 states/eV/f.u.
magnetization: 0.50 Bohr magnetons per cell
SG: F-43m (216)

Material: Ba2CaPb
Method: DFT, PBE-GGA
State: optimized geometry

Geometry as POSCAR:
```
Ba2CaPb
1.0
4.136 0.000 0.000
0.000 5.018 0.000
0.000 0.000 8.540
Pb Ca Ba
1 1 2
Cartesian
2.068 2.509 6.405
2.068 2.509 2.135
0.000 0.000 8.217
0.000 0.000 4.593
```

Computed properties:
energy: -2.653 eV/atom
energy relative to the elements: -264 meV per atom
D(E_F): 3.4 states/eV/f.u.
magnetization: 0.00 Bohr magnetons per cell
SG: Pmmm (47)

Material: BaCa2Pb2
Method: DFT, PBE-GGA
State: optimized geometry

Geometry as POSCAR:
```
BaCa2Pb2
1.0
5.166 0.000 0.000
0.000 5.532 0.098
0.000 -1.155 13.193
Ba Ca Pb
2 4 4
Cartesian
1.292 3.618 3.392
3.875 0.759 9.899
1.292 3.464 11.548
3.875 0.914 1.743
1.292 0.804 6.676
3.875 3.573 6.615
1.292 3.543 8.492
3.875 0.835 4.798
1.292 0.623 13.108
3.875 3.754 0.183
```

Computed properties:
energy: -3.182 eV/atom
energy relative to the elements: -514 meV per atom
D(E_F): 0.8 states/eV/f.u.
magnetization: 0.00 Bohr magnetons per cell
SG: P2_1/m (11)
energy above the most stable polymorph in this dataset: 0 meV/atom

Material: BaCa5Pb6
Method: DFT, PBE-GGA
State: optimized geometry

Geometry as POSCAR:
```
BaCa5Pb6
1.0
-4.205 0.340 3.055
-6.561 -2.781 -4.281
1.584 -8.558 3.132
Pb Ca Ba
6 5 1
Cartesian
-5.331 -2.871 1.861
-4.560 -7.037 3.386
-0.929 -6.171 3.848
-1.692 -2.047 2.339
-4.622 -3.963 -1.480
-3.850 -8.129 0.044
-6.398 -5.915 0.732
-3.619 -0.834 -0.449
0.792 -4.279 1.566
-7.147 -1.607 -0.777
-2.784 -5.085 1.174
0.000 0.000 0.000
```

Computed properties:
energy: -3.348 eV/atom
energy relative to the elements: -500 meV per atom
D(E_F): 5.6 states/eV/f.u.
magnetization: 0.00 Bohr magnetons per cell
SG: Cmmm (65)

Material: Ba2CaPb2
Method: DFT, PBE-GGA
State: optimized geometry

Geometry as POSCAR:
```
Ba2CaPb2
1.0
-1.884 -4.205 -2.548
2.231 -3.162 3.570
-6.237 -3.394 4.774
Pb Ca Ba
2 1 2
Cartesian
-1.042 -3.629 1.320
-4.848 -7.133 4.477
0.000 0.000 0.000
-3.974 -5.641 1.369
-1.916 -5.120 4.427
```

Computed properties:
energy: -2.829 eV/atom
energy relative to the elements: -176 meV per atom
D(E_F): 6.1 states/eV/f.u.
magnetization: 0.00 Bohr magnetons per cell
SG: I4/mmm (139)
energy above the most stable polymorph in this dataset: 326 meV/atom

Material: Ba2CaPtPb
Method: DFT, PBE-GGA
State: optimized geometry

Geometry as POSCAR:
```
Ba2CaPtPb
1.0
-2.276 4.360 -3.589
1.036 -3.482 -4.886
-5.075 -2.228 0.511
Pb Ca Ba Pt
1 1 2 1
Cartesian
-3.157 -0.675 -3.982
-2.538 -1.114 0.256
0.518 -1.741 -2.443
-1.138 2.180 -1.795
0.000 0.000 0.000
```

Computed properties:
energy: -3.640 eV/atom
energy relative to the elements: -520 meV per atom
D(E_F): 3.1 states/eV/f.u.
magnetization: 0.00 Bohr magnetons per cell
SG: P4/mmm (123)

Material: BaCa2RhPb
Method: DFT, PBE-GGA
State: optimized geometry

Geometry as POSCAR:
```
BaCa2RhPb
1.0
5.525 0.000 0.000
0.000 5.525 0.000
0.000 0.000 5.428
Pb Ca Rh Ba
1 2 1 1
Cartesian
0.000 0.000 2.714
0.000 2.763 0.000
2.763 0.000 0.000
0.000 0.000 0.000
2.763 2.763 2.714
```

Computed properties:
energy: -3.749 eV/atom
energy relative to the elements: -352 meV per atom
D(E_F): 3.0 states/eV/f.u.
magnetization: 0.00 Bohr magnetons per cell
SG: P4/mmm (123)
energy above the most stable polymorph in this dataset: 0 meV/atom

Material: BaCaRhPb2
Method: DFT, PBE-GGA
State: optimized geometry

Geometry as POSCAR:
```
BaCaRhPb2
1.0
5.457 0.000 0.000
0.000 5.457 0.000
0.000 0.000 5.334
Pb Ca Rh Ba
2 1 1 1
Cartesian
0.000 2.728 0.000
2.728 0.000 0.000
0.000 0.000 2.667
0.000 0.000 0.000
2.728 2.728 2.667
```

Computed properties:
energy: -4.066 eV/atom
energy relative to the elements: -327 meV per atom
D(E_F): 4.4 states/eV/f.u.
magnetization: 0.00 Bohr magnetons per cell
SG: P4/mmm (123)

Material: BaCa2RhPb
Method: DFT, PBE-GGA
State: optimized geometry

Geometry as POSCAR:
```
BaCa2RhPb
1.0
-4.153 -1.126 -3.407
1.894 -5.538 -0.479
-3.121 -1.437 4.280
Pb Ca Rh Ba
1 2 1 1
Cartesian
-2.690 -4.051 0.197
-1.560 -0.719 2.140
-2.077 -0.563 -1.703
0.000 0.000 0.000
0.947 -2.769 -0.239
```

Computed properties:
energy: -3.658 eV/atom
energy relative to the elements: -260 meV per atom
D(E_F): 6.6 states/eV/f.u.
magnetization: 0.00 Bohr magnetons per cell
SG: P4/mmm (123)
energy above the most stable polymorph in this dataset: 92 meV/atom

Material: Ba2CaPbS
Method: DFT, PBE-GGA
State: optimized geometry

Geometry as POSCAR:
```
Ba2CaPbS
1.0
6.067 0.000 0.000
0.000 6.067 0.000
0.000 0.000 5.417
Pb Ca S Ba
1 1 1 2
Cartesian
3.033 3.033 2.708
0.000 0.000 2.708
0.000 0.000 0.000
0.000 3.033 0.000
3.033 0.000 0.000
```

Computed properties:
energy: -3.746 eV/atom
D(E_F): 1.0 states/eV/f.u.
magnetization: 0.00 Bohr magnetons per cell
SG: P4/mmm (123)
raw formation energy: -1009 meV per atom

Material: BaCa2PbS
Method: DFT, PBE-GGA
State: optimized geometry

Geometry as POSCAR:
```
BaCa2PbS
1.0
5.429 0.000 0.000
0.000 5.429 0.000
0.000 0.000 6.004
Pb Ca S Ba
1 2 1 1
Cartesian
2.715 2.715 3.002
0.000 2.715 0.000
2.715 0.000 0.000
0.000 0.000 0.000
0.000 0.000 3.002
```

Computed properties:
energy: -3.766 eV/atom
D(E_F): 1.0 states/eV/f.u.
magnetization: 0.00 Bohr magnetons per cell
SG: P4/mmm (123)
raw formation energy: -1014 meV per atom

Material: BaCaPb2S4
Method: DFT, PBE-GGA
State: optimized geometry

Geometry as POSCAR:
```
BaCaPb2S4
1.0
8.578 0.008 -0.043
0.002 8.578 -0.043
-4.279 -4.282 6.114
Ba Ca Pb S
2 2 4 8
Cartesian
0.001 4.289 -0.021
6.439 2.156 2.993
2.150 2.152 3.014
4.299 -4.274 6.071
4.289 0.004 -0.021
2.149 -2.137 3.035
-2.140 -2.141 3.057
4.290 4.293 -0.043
2.125 6.533 0.011
4.197 0.030 2.961
0.104 4.274 3.067
2.175 -2.229 6.017
2.162 2.244 5.985
4.209 4.292 3.058
0.092 0.012 2.971
2.139 2.060 0.043
```

Computed properties:
energy: -4.761 eV/atom
D(E_F): 0.0 states/eV/f.u.
magnetization: 0.00 Bohr magnetons per cell
SG: Imma (74)
raw formation energy: -1280 meV per atom